Entry 1:
This record from Alexandria describes crystalline RbMgCuTe2 at its relaxed geometry. The functional is PBE.

The structure belongs to space group P2/c (No. 13); the cell edges are 8.428, 6.435 and 6.831 Å and the angles 90.00°, 113.80° and 90.00°. The inequivalent atoms are Rb at (0.000, 0.235, 0.250), Mg at (0.500, 0.500, 0.250), Cu at (0.500, 0.000, 0.000) and Te at (0.275, 0.271, 0.888).

The value obtained for the uncorrected formation energy is -0.6846 eV per atom. As for the magnetization: 0.00 μB/f.u. For the uncorrected energy, the calculation gives -3.273 eV/atom.

Entry 2:
This record from Alexandria describes crystalline RbScGe at its relaxed geometry. The functional is PBE.

The structure belongs to space group P-6m2 (No. 187); the cell edges are 4.6443, 4.6443 and 5.9453 Å and the angles 90.00°, 90.00° and 120.00°. The inequivalent atoms are Rb at (0.0000, 0.0000, 0.0000), Sc at (0.3333, 0.6667, 0.5000) and Ge at (0.6667, 0.3333, 0.5000).

As for the magnetization: 0.00 μB/f.u. Its energy relative to the elements is 0.90 kcal/mol of atoms. The calculation puts the energy relative to the lowest polymorph listed for this composition at 399 meV per atom. For the uncorrected energy, the calculation gives -3.933 eV/atom.

Entry 3:
This record from Alexandria describes crystalline GePt2Pb at its relaxed geometry. The functional is PBE.

The structure belongs to space group C2 (No. 5); the cell edges are 12.497, 6.136 and 5.007 Å and the angles 90.00°, 90.08° and 90.00°. The inequivalent atoms are Ge at (0.000, 0.000, 0.000), Ge at (0.000, 0.001, 0.500), Pt at (0.137, 0.786, 0.750), Pt at (0.159, 0.128, 0.250) and Pb at (0.187, 0.579, 0.250).

As for the magnetization: 0.00 μB/f.u. Its energy relative to the elements is -2.57 kcal/mol of atoms. For the uncorrected energy, the calculation gives -5.213 eV/atom.

Entry 4:
This record from Alexandria describes crystalline RbNpCdI6 at its relaxed geometry. The functional is PBE.

The structure belongs to space group P-31c (No. 163); the cell edges are 8.0192, 8.0192 and 16.0403 Å and the angles 90.00°, 90.00° and 120.00°. The inequivalent atoms are Rb at (0.0000, 0.0000, 0.0000), Np at (0.3333, 0.6667, 0.2500), Cd at (0.3333, 0.6667, 0.7500) and I at (0.0068, 0.3776, 0.6398).

The value obtained for the uncorrected formation energy is -0.8928 eV per atom. As for the magnetization: 4.00 μB/f.u. For the uncorrected energy, the calculation gives -3.573 eV/atom.